w.
# BaYTe2

A geometry-optimized BaYTe2 structure (GGA-PBE, Alexandria).

a = 4.6810 Å, b = 4.6810 Å, c = 6.5961 Å
α = 90.00°, β = 90.00°, γ = 90.00°
Space group P4/mmm (No. 123)
Asymmetric unit:
Ba 0.0000 0.0000 0.0000
Y 0.5000 0.5000 0.5000
Te 0.0000 0.0000 0.5000
Te 0.5000 0.5000 0.0000

=====

x.
# BaYTe2

A geometry-optimized BaYTe2 structure (GGA-PBE, Alexandria).

a = 4.5164 Å, b = 4.5164 Å, c = 30.3635 Å
α = 90.00°, β = 90.00°, γ = 120.00°
Space group R-3m (No. 166, hexagonal axes)
Asymmetric unit:
Ba 0.0000 0.0000 0.0000
Y 0.0000 0.0000 0.5000
Te 0.0000 0.0000 0.1109

=====

List of relative energies, unit kJ/mol of atoms: w 0.0; x 20.0

=====

w.
# BaYTe2

A geometry-optimized BaYTe2 structure (GGA-PBE, Alexandria).

a = 8.0271 Å, b = 8.0271 Å, c = 8.0271 Å
α = 90.00°, β = 90.00°, γ = 90.00°
Space group Fm-3m (No. 225)
Asymmetric unit:
Ba 0.0000 0.0000 0.0000
Y 0.0000 0.0000 0.5000
Te 0.2500 0.2500 0.2500

=====

x.
# BaYTe2

A geometry-optimized BaYTe2 structure (GGA-PBE, Alexandria).

a = 16.0295 Å, b = 4.3763 Å, c = 4.4372 Å
α = 90.00°, β = 90.08°, γ = 90.00°
Space group Cm (No. 8)
Asymmetric unit:
Ba 0.0000 0.0000 0.0000
Y 0.2298 0.0000 0.5018
Te 0.1879 0.5000 0.0016
Te 0.4126 0.0000 0.4996

=====

y.
# BaYTe2

A geometry-optimized BaYTe2 structure (GGA-PBE, Alexandria).

a = 4.1661 Å, b = 4.3256 Å, c = 15.9830 Å
α = 90.00°, β = 90.00°, γ = 90.00°
Space group Imm2 (No. 44)
Asymmetric unit:
Ba 0.0000 0.0000 0.0000
Y 0.0000 0.5000 0.7480
Te 0.0000 0.0000 0.3910
Te 0.0000 0.5000 0.1753

=====

List of relative energies, unit kJ/mol of atoms: w 14.9; x 7.0; y 0.0